Below is crystalline SrMg2Ta at its relaxed geometry, with properties calculated at the PBE level.

Cell: 4.7552 4.7552 11.1977 Å, 77.74 77.74 90.00°
Atoms (fractional coordinates):
Mg (0.6968, 0.1250, 0.2500)
Mg (0.3750, 0.3032, 0.7500)
Mg (0.8750, 0.9468, 0.7500)
Mg (0.0532, 0.6250, 0.2500)
Sr (0.5000, 0.5000, 0.0000)
Sr (0.2500, 0.7500, 0.5000)
Ta (0.7500, 0.2500, 0.5000)
Ta (0.0000, 0.0000, 0.0000)

Calculated values
DFT total energy = -3.146 eV per atom
E_form = 4.14 eV per formula unit
Crystal system = tetragonal
Total magnetization = 3.0 μB per formula unit
Relative energy among the computed polymorphs = 643 meV/atom

***

Below is crystalline SrMg2Ta at its relaxed geometry, with properties calculated at the PBE level.

Cell: 3.1540 3.1540 9.8543 Å, 90.00 90.00 90.00°
Atoms (fractional coordinates):
Mg (0.0000, 0.0000, 0.9586)
Mg (0.0000, 0.0000, 0.5414)
Sr (0.5000, 0.5000, 0.2500)
Ta (0.5000, 0.5000, 0.7500)

Calculated values
DFT total energy = -3.790 eV per atom
E_form = 1.56 eV per formula unit
Crystal system = tetragonal
Total magnetization = 0.0 μB per formula unit
Relative energy among the computed polymorphs = 0 meV/atom

***

Below is crystalline SrTbMg at its relaxed geometry, with properties calculated at the PBE level.

Cell: 3.8820 3.8820 7.4854 Å, 105.03 105.03 90.00°
Atoms (fractional coordinates):
Mg (0.6798, 0.6798, 0.3595)
Tb (0.3074, 0.3074, 0.6148)
Sr (0.0128, 0.0128, 0.0256)

Calculated values
DFT total energy = -2.581 eV per atom
E_form = 0.16 eV per formula unit
Crystal system = tetragonal
Total magnetization = 0.4 μB per formula unit
Relative energy among the computed polymorphs = 0 meV/atom

***

Below is crystalline SrTb2Mg3 at its relaxed geometry, with properties calculated at the PBE level.

Cell: 3.8815 3.8815 12.0321 Å, 90.00 90.00 90.00°
Atoms (fractional coordinates):
Mg (0.0000, 0.0000, 0.0000)
Mg (0.0000, 0.0000, 0.6938)
Mg (0.0000, 0.0000, 0.3062)
Sr (0.5000, 0.5000, 0.5000)
Tb (0.5000, 0.5000, 0.8492)
Tb (0.5000, 0.5000, 0.1508)

Calculated values
DFT total energy = -2.683 eV per atom
E_form = -0.37 eV per formula unit
Crystal system = tetragonal
Total magnetization = 0.0 μB per formula unit

***

Below is crystalline SrTbMg2 at its relaxed geometry, with properties calculated at the PBE level.

Cell: 3.9906 3.9906 7.9748 Å, 90.00 90.00 90.00°
Atoms (fractional coordinates):
Tb (0.5000, 0.5000, 0.0000)
Mg (0.0000, 0.0000, 0.2164)
Mg (0.0000, 0.0000, 0.7836)
Sr (0.5000, 0.5000, 0.5000)

Calculated values
DFT total energy = -2.421 eV per atom
E_form = -0.18 eV per formula unit
Crystal system = tetragonal
Total magnetization = 0.3 μB per formula unit
Relative energy among the computed polymorphs = 0 meV/atom

***

Below is crystalline SrTb4Mg5 at its relaxed geometry, with properties calculated at the PBE level.

Cell: 3.8439 3.8439 19.6834 Å, 90.00 90.00 90.00°
Atoms (fractional coordinates):
Mg (0.5000, 0.5000, 0.1204)
Mg (0.5000, 0.5000, 0.8796)
Mg (0.5000, 0.5000, 0.6889)
Mg (0.5000, 0.5000, 0.5000)
Mg (0.5000, 0.5000, 0.3110)
Tb (0.0000, 0.0000, 0.4053)
Tb (0.0000, 0.0000, 0.2174)
Tb (0.0000, 0.0000, 0.7826)
Tb (0.0000, 0.0000, 0.5947)
Sr (0.0000, 0.0000, 0.0000)

Calculated values
DFT total energy = -2.889 eV per atom
E_form = -0.71 eV per formula unit
Crystal system = tetragonal
Total magnetization = 0.0 μB per formula unit

***

Below is crystalline Sr4TbMg5 at its relaxed geometry, with properties calculated at the PBE level.

Cell: 4.0618 4.0618 20.9047 Å, 90.00 90.00 90.00°
Atoms (fractional coordinates):
Tb (0.0000, 0.0000, 0.0000)
Mg (0.5000, 0.5000, 0.7080)
Mg (0.5000, 0.5000, 0.0813)
Mg (0.5000, 0.5000, 0.2920)
Mg (0.5000, 0.5000, 0.9187)
Mg (0.5000, 0.5000, 0.5000)
Sr (0.0000, 0.0000, 0.8126)
Sr (0.0000, 0.0000, 0.6044)
Sr (0.0000, 0.0000, 0.1874)
Sr (0.0000, 0.0000, 0.3956)

Calculated values
DFT total energy = -1.982 eV per atom
E_form = -0.49 eV per formula unit
Crystal system = tetragonal
Total magnetization = 0.2 μB per formula unit

***

Below is crystalline SrTb3Mg4 at its relaxed geometry, with properties calculated at the PBE level.

Cell: 5.5039 7.7469 11.0102 Å, 90.00 90.00 90.00°
Atoms (fractional coordinates):
Tb (0.0000, 0.0000, 0.5000)
Tb (0.5000, 0.5000, 0.2500)
Tb (0.0000, 0.0000, 0.0000)
Tb (0.5001, 0.0000, 0.7500)
Tb (0.5000, 0.5000, 0.7500)
Tb (0.4999, 0.0000, 0.2500)
Mg (0.5000, 0.7640, 0.0000)
Mg (0.5000, 0.7640, 0.5000)
Mg (0.5000, 0.2360, 0.0000)
Mg (0.5000, 0.2360, 0.5000)
Mg (0.9998, 0.7640, 0.7500)
Mg (0.0002, 0.2360, 0.2500)
Mg (0.9998, 0.2360, 0.7500)
Mg (0.0002, 0.7640, 0.2500)
Sr (0.0000, 0.5000, 0.0000)
Sr (0.0000, 0.5000, 0.5000)

Calculated values
DFT total energy = -2.780 eV per atom
E_form = -0.29 eV per formula unit
Crystal system = tetragonal
Total magnetization = 0.0 μB per formula unit

***

Below is crystalline SrTb2Mg at its relaxed geometry, with properties calculated at the PBE level.

Cell: 3.8334 3.8334 9.3470 Å, 90.00 90.00 90.00°
Atoms (fractional coordinates):
Tb (0.0000, 0.0000, 0.8086)
Tb (0.0000, 0.0000, 0.1914)
Mg (0.5000, 0.5000, 0.0000)
Sr (0.5000, 0.5000, 0.5000)

Calculated values
DFT total energy = -3.064 eV per atom
E_form = 0.28 eV per formula unit
Crystal system = tetragonal
Total magnetization = 0.0 μB per formula unit
Relative energy among the computed polymorphs = 0 meV/atom

***

Below is crystalline SrTbMg2 at its relaxed geometry, with properties calculated at the PBE level.

Cell: 5.6342 5.6342 5.6342 Å, 60.00 60.00 60.00°
Atoms (fractional coordinates):
Tb (0.5000, 0.5000, 0.5000)
Mg (0.2500, 0.2500, 0.2500)
Mg (0.7500, 0.7500, 0.7500)
Sr (0.0000, 0.0000, 0.0000)

Calculated values
DFT total energy = -2.379 eV per atom
E_form = -0.01 eV per formula unit
Crystal system = cubic
Total magnetization = 0.0 μB per formula unit
Relative energy among the computed polymorphs = 42 meV/atom

***

Below is crystalline SrTbMg17 at its relaxed geometry, with properties calculated at the PBE level.

Cell: 7.8660 7.8660 7.8660 Å, 82.41 82.41 82.41°
Atoms (fractional coordinates):
Mg (0.1686, 0.6446, 0.6446)
Mg (0.2997, 0.6968, 0.0037)
Mg (0.0037, 0.6968, 0.2997)
Mg (0.9983, 0.9983, 0.5024)
Mg (0.2997, 0.0037, 0.6968)
Mg (0.8520, 0.3467, 0.3467)
Mg (0.3467, 0.8520, 0.3467)
Mg (0.9983, 0.5024, 0.9983)
Mg (0.3467, 0.3467, 0.8520)
Mg (0.6968, 0.2997, 0.0037)
Mg (0.6968, 0.0037, 0.2997)
Mg (0.1013, 0.1013, 0.1013)
Mg (0.5024, 0.9983, 0.9983)
Mg (0.6446, 0.1686, 0.6446)
Mg (0.0037, 0.2997, 0.6968)
Mg (0.6446, 0.6446, 0.1686)
Mg (0.9034, 0.9034, 0.9034)
Sr (0.6640, 0.6640, 0.6640)
Tb (0.3288, 0.3288, 0.3288)

Calculated values
DFT total energy = -1.794 eV per atom
E_form = -0.66 eV per formula unit
Crystal system = trigonal
Total magnetization = 0.0 μB per formula unit

***

Below is crystalline SrTb2Mg9 at its relaxed geometry, with properties calculated at the PBE level.

Cell: 6.1411 6.1411 10.5460 Å, 73.07 73.07 60.00°
Atoms (fractional coordinates):
Sr (0.0000, 0.0000, 0.0000)
Mg (0.4119, 0.9192, 0.2571)
Mg (0.9192, 0.4119, 0.2571)
Mg (0.4119, 0.4119, 0.2571)
Mg (0.3343, 0.3343, 0.9970)
Mg (0.5881, 0.5881, 0.7429)
Mg (0.5000, 0.5000, 0.5000)
Mg (0.6657, 0.6657, 0.0030)
Mg (0.0808, 0.5881, 0.7429)
Mg (0.5881, 0.0808, 0.7429)
Tb (0.1480, 0.1480, 0.5560)
Tb (0.8520, 0.8520, 0.4440)

Calculated values
DFT total energy = -2.166 eV per atom
E_form = -0.70 eV per formula unit
Crystal system = trigonal
Total magnetization = 0.0 μB per formula unit

***

Below is crystalline SrTb2Mg at its relaxed geometry, with properties calculated at the PBE level.

Cell: 3.5924 3.5924 12.6026 Å, 81.81 81.81 60.00°
Atoms (fractional coordinates):
Tb (0.9035, 0.9035, 0.2894)
Tb (0.0965, 0.0965, 0.7106)
Mg (0.5000, 0.5000, 0.5000)
Sr (0.0000, 0.0000, 0.0000)

Calculated values
DFT total energy = -2.863 eV per atom
E_form = 1.09 eV per formula unit
Crystal system = trigonal
Total magnetization = 0.0 μB per formula unit
Relative energy among the computed polymorphs = 201 meV/atom

***

Below is crystalline SrTbMg at its relaxed geometry, with properties calculated at the PBE level.

Cell: 3.5443 5.7731 5.7731 Å, 120.00 90.00 90.00°
Atoms (fractional coordinates):
Sr (0.6929, 0.3333, 0.6667)
Tb (0.3049, 0.6667, 0.3333)
Mg (0.0022, 0.0000, 0.0000)

Calculated values
DFT total energy = -2.459 eV per atom
E_form = 0.53 eV per formula unit
Crystal system = trigonal
Total magnetization = 0.0 μB per formula unit
Relative energy among the computed polymorphs = 122 meV/atom

***

Below is crystalline SrTbMg at its relaxed geometry, with properties calculated at the PBE level.

Cell: 5.5335 5.5335 7.9299 Å, 90.00 90.00 90.00°
Atoms (fractional coordinates):
Mg (0.5000, 0.0000, 0.7790)
Mg (0.0000, 0.5000, 0.2210)
Tb (0.5000, 0.5000, 0.0000)
Tb (0.0000, 0.0000, 0.0000)
Sr (0.5000, 0.5000, 0.5000)
Sr (0.0000, 0.0000, 0.5000)

Calculated values
DFT total energy = -2.289 eV per atom
E_form = 1.04 eV per formula unit
Crystal system = tetragonal
Total magnetization = 0.2 μB per formula unit
Relative energy among the computed polymorphs = 291 meV/atom

***

Below is crystalline Sr2Tb2Mg15 at its relaxed geometry, with properties calculated at the PBE level.

Cell: 8.0961 8.0961 8.0961 Å, 82.99 82.99 82.99°
Atoms (fractional coordinates):
Sr (0.3406, 0.3406, 0.3406)
Sr (0.6594, 0.6594, 0.6594)
Mg (0.3519, 0.8495, 0.3519)
Mg (0.7090, 0.2910, 0.0000)
Mg (0.5000, 0.0000, 0.0000)
Mg (0.0000, 0.2910, 0.7090)
Mg (0.2910, 0.0000, 0.7090)
Mg (0.6481, 0.6481, 0.1505)
Mg (0.8495, 0.3519, 0.3519)
Mg (0.1505, 0.6481, 0.6481)
Mg (0.0000, 0.7090, 0.2910)
Mg (0.0000, 0.0000, 0.5000)
Mg (0.6481, 0.1505, 0.6481)
Mg (0.7090, 0.0000, 0.2910)
Mg (0.0000, 0.5000, 0.0000)
Mg (0.2910, 0.7090, 0.0000)
Mg (0.3519, 0.3519, 0.8495)
Tb (0.9027, 0.9027, 0.9027)
Tb (0.0973, 0.0973, 0.0973)

Calculated values
DFT total energy = -1.947 eV per atom
E_form = -0.44 eV per formula unit
Crystal system = trigonal
Total magnetization = 0.0 μB per formula unit

***

Below is crystalline Sr3TbMg4 at its relaxed geometry, with properties calculated at the PBE level.

Cell: 4.0231 4.0231 16.8288 Å, 90.00 90.00 90.00°
Atoms (fractional coordinates):
Sr (0.5000, 0.5000, 0.5000)
Sr (0.5000, 0.5000, 0.7638)
Sr (0.5000, 0.5000, 0.2362)
Mg (0.0000, 0.0000, 0.3678)
Mg (0.0000, 0.0000, 0.6322)
Mg (0.0000, 0.0000, 0.8971)
Mg (0.0000, 0.0000, 0.1029)
Tb (0.5000, 0.5000, 0.0000)

Calculated values
DFT total energy = -2.055 eV per atom
E_form = -0.39 eV per formula unit
Crystal system = tetragonal
Total magnetization = 0.2 μB per formula unit

***

Below is crystalline SrTbMg4 at its relaxed geometry, with properties calculated at the PBE level.

Cell: 6.2220 6.2220 6.2220 Å, 60.00 60.00 60.00°
Atoms (fractional coordinates):
Mg (0.6261, 0.6261, 0.1216)
Mg (0.6261, 0.1216, 0.6261)
Mg (0.6261, 0.6261, 0.6261)
Mg (0.1216, 0.6261, 0.6261)
Tb (0.0000, 0.0000, 0.0000)
Sr (0.2500, 0.2500, 0.2500)

Calculated values
DFT total energy = -2.170 eV per atom
E_form = -0.33 eV per formula unit
Crystal system = cubic
Total magnetization = 0.0 μB per formula unit

***

Below is crystalline Sr4MgTc at its relaxed geometry, with properties calculated at the PBE level.

Cell: 7.0081 7.0081 7.0081 Å, 60.00 60.00 60.00°
Atoms (fractional coordinates):
Tc (0.7500, 0.7500, 0.7500)
Mg (0.0000, 0.0000, 0.0000)
Sr (0.3758, 0.3758, 0.8726)
Sr (0.3758, 0.8726, 0.3758)
Sr (0.8726, 0.3758, 0.3758)
Sr (0.3758, 0.3758, 0.3758)

Calculated values
DFT total energy = -2.061 eV per atom
E_form = 6.32 eV per formula unit
Crystal system = cubic
Total magnetization = 2.6 μB per formula unit

***

Below is crystalline Sr2MgTc at its relaxed geometry, with properties calculated at the PBE level.

Cell: 4.7127 4.5786 6.4345 Å, 69.08 90.00 90.00°
Atoms (fractional coordinates):
Sr (0.5000, 0.2675, 0.3403)
Sr (0.0000, 0.9825, 0.9098)
Mg (0.5000, 0.5701, 0.7348)
Tc (0.0000, 0.6799, 0.5151)

Calculated values
DFT total energy = -3.292 eV per atom
E_form = 2.15 eV per formula unit
Crystal system = monoclinic
Total magnetization = 1.4 μB per formula unit

***

Below is crystalline Sr2MgTc at its relaxed geometry, with properties calculated at the PBE level.

Cell: 3.6956 3.6956 8.9917 Å, 90.00 90.00 90.00°
Atoms (fractional coordinates):
Tc (0.0000, 0.0000, 0.5660)
Sr (0.5000, 0.5000, 0.3297)
Sr (0.0000, 0.0000, 0.9310)
Mg (0.5000, 0.5000, 0.6734)

Calculated values
DFT total energy = -3.372 eV per atom
E_form = 1.84 eV per formula unit
Crystal system = tetragonal
Total magnetization = 1.0 μB per formula unit

***

Below is crystalline Sr2MgTc at its relaxed geometry, with properties calculated at the PBE level.

Cell: 8.7377 8.7377 6.9605 Å, 51.12 51.12 90.00°
Atoms (fractional coordinates):
Tc (0.0000, 0.0000, 0.0000)
Tc (0.7500, 0.2500, 0.5000)
Mg (0.5000, 0.5000, 0.0000)
Mg (0.2500, 0.7500, 0.5000)
Sr (0.8750, 0.9178, 0.7500)
Sr (0.0822, 0.6250, 0.2500)
Sr (0.6678, 0.1250, 0.2500)
Sr (0.3750, 0.3322, 0.7500)

Calculated values
DFT total energy = -2.968 eV per atom
E_form = 3.45 eV per formula unit
Crystal system = tetragonal
Total magnetization = 1.3 μB per formula unit

***

Below is crystalline Sr2Mg4Tc at its relaxed geometry, with properties calculated at the PBE level.

Cell: 5.1491 5.1491 9.3003 Å, 73.93 73.93 90.00°
Atoms (fractional coordinates):
Tc (0.0000, 0.0000, 0.0000)
Sr (0.3630, 0.3630, 0.2740)
Sr (0.6370, 0.6370, 0.7260)
Mg (0.8497, 0.8497, 0.3006)
Mg (0.0000, 0.5000, 0.0000)
Mg (0.1503, 0.1503, 0.6994)
Mg (0.5000, 0.0000, 0.0000)

Calculated values
DFT total energy = -2.598 eV per atom
E_form = 1.92 eV per formula unit
Crystal system = tetragonal
Total magnetization = 0.0 μB per formula unit

***

Below is crystalline Sr2MgTc at its relaxed geometry, with properties calculated at the PBE level.

Cell: 5.6715 5.6715 3.7208 Å, 90.00 90.00 90.45°
Atoms (fractional coordinates):
Sr (0.0000, 0.0000, 0.0000)
Sr (0.5000, 0.5000, 0.0000)
Mg (0.0000, 0.5000, 0.5000)
Tc (0.5000, 0.0000, 0.5000)

Calculated values
DFT total energy = -3.163 eV per atom
E_form = 2.67 eV per formula unit
Crystal system = orthorhombic
Total magnetization = 2.1 μB per formula unit

***

Below is crystalline Sr2MgTc at its relaxed geometry, with properties calculated at the PBE level.

Cell: 5.7292 5.7292 5.7292 Å, 128.90 128.90 75.17°
Atoms (fractional coordinates):
Tc (0.5000, 0.5000, 0.0000)
Mg (0.7500, 0.2500, 0.5000)
Sr (0.0000, 0.0000, 0.0000)
Sr (0.2500, 0.7500, 0.5000)

Calculated values
DFT total energy = -3.155 eV per atom
E_form = 2.70 eV per formula unit
Crystal system = tetragonal
Total magnetization = 1.1 μB per formula unit

***

Below is crystalline Sr2MgTc at its relaxed geometry, with properties calculated at the PBE level.

Cell: 11.1826 11.1826 11.1826 Å, 18.38 18.38 18.38°
Atoms (fractional coordinates):
Sr (0.5143, 0.5143, 0.5143)
Sr (0.9857, 0.9857, 0.9857)
Tc (0.2500, 0.2500, 0.2500)
Mg (0.7500, 0.7500, 0.7500)

Calculated values
DFT total energy = -3.084 eV per atom
E_form = 2.99 eV per formula unit
Crystal system = trigonal
Total magnetization = 0.7 μB per formula unit